Record 1
16
Lattice="5.419 0.000 0.000 0.000 6.427 0.000 0.000 0.000 12.068" Properties=species:S:1:pos:R:3 comment="PBE-GGA Ce5TcHg2, optimized geometry" relative_energy_ev_per_atom=0.000 space_group="Pbam, No. 55" m_tot_mub_per_atom=0.47 delta_e_f_ev_per_atom=-0.156 pbc="T T T"
Ce 2.709 2.302 1.017
Ce 2.709 4.125 11.051
Ce 2.709 5.515 5.017
Ce 2.709 0.911 7.051
Ce 0.000 5.657 8.575
Ce 0.000 0.770 3.493
Ce 0.000 2.444 9.527
Ce 0.000 3.983 2.541
Ce 0.000 3.213 6.034
Ce 0.000 0.000 0.000
Tc 0.000 0.000 6.034
Tc 0.000 3.213 0.000
Hg 2.709 2.479 4.170
Hg 2.709 3.947 7.898
Hg 2.709 0.734 10.204
Hg 2.709 5.693 1.864

***

Record 2
19
Lattice="8.001 0.684 0.819 -0.537 8.012 0.819 -0.537 -0.626 8.029" Properties=species:S:1:pos:R:3 comment="PBE-GGA Na12GaHg6, optimized geometry" space_group="R-3, No. 148" m_tot_mub_per_atom=0.00 delta_e_f_ev_per_atom=-0.157 pbc="T T T"
Na 5.939 4.539 4.539
Na 2.713 6.424 5.277
Na 3.586 3.294 7.264
Na 0.987 3.531 5.128
Na 4.214 1.645 4.390
Na 3.340 4.775 2.403
Na -0.092 0.942 3.100
Na 5.981 5.028 9.062
Na 4.063 7.724 8.186
Na 7.019 7.128 6.567
Na 0.945 3.041 0.605
Na 2.863 0.346 1.481
Ga 0.000 0.000 0.000
Hg 5.222 7.440 3.389
Hg 5.736 2.604 1.741
Hg 0.364 5.859 2.873
Hg 1.704 0.630 6.278
Hg 1.190 5.466 7.926
Hg 6.562 2.210 6.794

***

Record 3
4
Lattice="3.588 0.008 0.000 -0.010 3.588 0.000 0.000 0.000 7.651" Properties=species:S:1:pos:R:3 comment="PBE-GGA SrRhCl2, optimized geometry" e_form_raw_ev_per_atom=-0.884 relative_energy_ev_per_atom=0.135 space_group="P4mm, No. 99" m_tot_mub_per_atom=0.08 pbc="T T T"
Sr 1.789 1.798 5.705
Rh 0.000 0.000 3.317
Cl 0.000 0.000 7.202
Cl 1.789 1.798 2.903